PtBr2Cl | PBE | optimized geometry

a b c (Å): 2.9768 3.4073 10.5319
angles (deg): 90.00 90.00 90.00
With the nearest neighbours (Å) after each atom.
Element x y z (fractional)
Pt  0.0000  0.0000  0.0000  4 Cl 2.74, 4 Br 2.83, 2 Pt 2.98
Br  0.0000  0.0000  0.5008  2 Br 2.98
Br  0.5000  0.5000  0.1619  4 Pt 2.83, 2 Br 2.98
Cl  0.5000  0.5000  0.8540  4 Pt 2.74, 2 Cl 2.98

VASP energy ... -2.3128 eV/atom
ΔE_f (raw) ... 495.5 meV per atom
Density of states at the Fermi level ... 1.5026 states/eV/atom
M_tot ... 0.016 μB per atom
Energy relative to the lowest polymorph listed for this composition ... 0.730 eV/atom